## Ni3Sn2H2 (PBE)

Data for a relaxed structure of Ni3Sn2H2.

## Properties
- space group = Pmmm (47)
- density of states at the Fermi level (states/eV per atom) = 0.370
- magnetization (μB per cell) = 0.00
- crystal system = orthorhombic
- final energy (eV/cell) = -32.3

Cell: 2.9821 3.6786 8.2490 Å, 90.00 90.00 90.00°
Sites, in units of the cell vectors:
Ni 0.0000 0.0000 0.0000
Ni 0.5000 0.5000 0.1690
Ni 0.5000 0.5000 0.8310
Sn 0.0000 0.0000 0.3224
Sn 0.0000 0.0000 0.6776
H 0.5000 0.2416 0.0000
H 0.5000 0.7584 0.0000